(1)
Here is a relaxed Rb2NdSnO4 crystal from the Alexandria database. Energies are from GGA-PBE. Values from VASP.

Structure (Quantum ESPRESSO input):
```
&SYSTEM
  ibrav = 0, nat = 8, ntyp = 4
/
ATOMIC_SPECIES
Sn 118.71 Sn.upf
O 16.00 O.upf
Rb 85.47 Rb.upf
Nd 144.24 Nd.upf
ATOMIC_POSITIONS angstrom
Sn -3.0219 -3.5316 2.6719
O -1.8708 -1.7017 2.9468
Rb -3.1353 -0.3048 0.5550
O -4.6000 -2.7778 1.6041
O -3.7153 1.2130 3.1300
O -1.7862 -4.3458 1.2546
Nd -2.5953 -0.2094 4.4732
Rb 0.3006 0.0531 2.1813
CELL_PARAMETERS angstrom
-6.3017 -0.6151 0.8829
-0.3286 -6.5515 0.2048
3.8781 3.6826 3.5417
```

Computed properties:
The density comes out at 4.83 g cm⁻³. The value obtained for the raw total energy is -45.760 eV/cell.

(2)
Here is a relaxed Rb3Nd3SnO8 crystal from the Alexandria database. Energies are from GGA-PBE. Values from VASP.

Structure (Quantum ESPRESSO input):
```
&SYSTEM
  ibrav = 0, nat = 15, ntyp = 4
/
ATOMIC_SPECIES
Rb 85.47 Rb.upf
Nd 144.24 Nd.upf
O 16.00 O.upf
Sn 118.71 Sn.upf
ATOMIC_POSITIONS angstrom
Rb 0.0000 0.0000 0.0000
Nd -1.7849 1.0421 3.3273
Rb -1.7850 3.0917 -0.0116
O 1.9569 3.2068 4.4416
Nd 1.7849 1.0421 3.3273
Nd 3.5699 -2.0496 3.3389
O 5.5268 -1.1226 2.2130
Rb 1.7849 3.0917 -0.0116
O 1.6129 -1.1226 2.2130
O 3.5699 0.0159 4.4985
O 3.5699 2.2668 2.2003
O 0.0000 -0.1826 4.4544
O -1.9570 3.2068 4.4417
O 0.0000 2.0683 2.1561
Sn 0.0000 -2.0496 3.3389
CELL_PARAMETERS angstrom
7.1398 0.0000 0.0000
-3.5699 6.1835 -0.0232
0.0000 -4.0992 6.6779
```

Computed properties:
The density comes out at 5.28 g cm⁻³. The value obtained for the raw total energy is -96.493 eV/cell.

(3)
Here is a relaxed RbNdSnO3 crystal from the Alexandria database. Energies are from GGA-PBE. Values from VASP.

Structure (Quantum ESPRESSO input):
```
&SYSTEM
  ibrav = 0, nat = 12, ntyp = 4
/
ATOMIC_SPECIES
Nd 144.24 Nd.upf
O 16.00 O.upf
Sn 118.71 Sn.upf
Rb 85.47 Rb.upf
ATOMIC_POSITIONS angstrom
Nd 2.7221 2.4446 8.9656
O 2.7221 2.8958 6.5348
Sn 0.9074 1.8038 5.9384
Sn 2.7221 4.8478 5.2952
O 0.9074 3.7557 4.6988
O 2.7221 2.7418 1.6404
O 0.9074 3.9098 9.5931
O 2.7221 5.5189 3.1618
O 0.9074 1.1327 8.0718
Nd 0.9074 4.2069 2.2680
Rb 0.9074 0.4612 2.2151
Rb 2.7221 6.1903 9.0185
CELL_PARAMETERS angstrom
3.6295 0.0000 0.0000
0.0000 7.3815 1.6065
0.0000 -0.7300 9.6271
```

Computed properties:
The density comes out at 5.02 g cm⁻³. The value obtained for the raw total energy is -74.993 eV/cell.

(4)
Here is a relaxed Rb2TbNdO4 crystal from the Alexandria database. Energies are from GGA-PBE. Values from VASP.

Structure (Quantum ESPRESSO input):
```
&SYSTEM
  ibrav = 0, nat = 8, ntyp = 4
/
ATOMIC_SPECIES
Rb 85.47 Rb.upf
O 16.00 O.upf
Tb 158.93 Tb.upf
Nd 144.24 Nd.upf
ATOMIC_POSITIONS angstrom
Rb 1.8015 -1.0923 3.2780
O 1.8015 0.9756 1.1875
O 0.0000 4.1898 1.2528
Tb 0.0000 0.0000 0.0000
Rb 0.0000 2.0271 3.3309
O 1.8015 3.0787 5.4743
O 0.0000 -0.1355 5.4090
Nd 1.8015 3.1194 0.0529
CELL_PARAMETERS angstrom
3.6031 0.0000 0.0000
0.0000 6.2389 0.1059
0.0000 -2.1846 6.5559
```

Computed properties:
The density comes out at 6.03 g cm⁻³. The value obtained for the raw total energy is -52.065 eV/cell.

(5)
Here is a relaxed Rb3Tb2NdO6 crystal from the Alexandria database. Energies are from GGA-PBE. Values from VASP.

Structure (Quantum ESPRESSO input):
```
&SYSTEM
  ibrav = 0, nat = 12, ntyp = 4
/
ATOMIC_SPECIES
Nd 144.24 Nd.upf
Tb 158.93 Tb.upf
O 16.00 O.upf
Rb 85.47 Rb.upf
ATOMIC_POSITIONS angstrom
Nd 0.0000 0.0000 0.0000
Tb -2.4641 -1.2360 2.2827
O 1.8047 2.1592 5.8491
Rb 1.3117 3.7641 3.4601
Tb -1.9454 2.2894 1.9452
O -2.0971 0.6559 3.6293
O 0.3160 1.9522 1.3981
Rb 0.7942 0.2466 3.7968
Rb 0.2767 -3.2709 4.1334
O -0.2164 -1.6661 1.7444
O 1.2724 -1.4591 6.1954
O 3.6854 -0.1628 3.9642
CELL_PARAMETERS angstrom
-1.4267 5.8148 1.6078
-2.9827 -4.7614 2.6201
5.9978 -0.5603 3.3656
```

Computed properties:
The density comes out at 6.17 g cm⁻³. The value obtained for the raw total energy is -78.313 eV/cell.

(6)
Here is a relaxed RbNdTcO5 crystal from the Alexandria database. Energies are from GGA-PBE. Values from VASP.

Structure (Quantum ESPRESSO input):
```
&SYSTEM
  ibrav = 0, nat = 16, ntyp = 4
/
ATOMIC_SPECIES
O 16.00 O.upf
Rb 85.47 Rb.upf
Nd 144.24 Nd.upf
Tc 98.00 Tc.upf
ATOMIC_POSITIONS angstrom
O -3.8250 3.6226 5.1672
O -4.6130 1.1562 3.9582
Rb -4.2416 4.5409 0.1882
Nd -0.6102 3.7252 1.8353
O -4.2540 5.7205 -2.2102
Nd 0.0000 0.0000 0.0000
O -3.2428 2.5632 -2.0882
O -4.0308 0.0969 -3.2972
Rb -3.6142 -0.8215 1.6818
Tc -3.6317 0.8478 -1.7123
O -2.3150 -0.1253 -0.9838
O -3.6018 -2.0011 4.0801
O -5.5408 3.8448 2.8538
O -2.9174 2.8599 2.3558
Tc -4.2241 2.8716 3.5823
O -4.9383 0.8595 -0.4859
CELL_PARAMETERS angstrom
-3.3422 0.4737 -5.6562
-3.2931 -4.2046 3.8555
-1.2205 7.4503 3.6707
```

Computed properties:
The density comes out at 4.25 g cm⁻³. The value obtained for the raw total energy is -114.261 eV/cell.